Record 1
Compound: AlCd2W
Source: the Alexandria database
Functional: GGA-PBEsol
Structure: optimized geometry

Values from the calculation:
- DOS(E_F) (states/eV/atom) = 0.74
- calculated total energy (eV/atom) = -4.771
- magnetization (μB per formula unit) = 0.000
- mass density (g cm⁻³) = 10.2

Lattice parameters (Å, degrees): 2.8258 2.8258 8.8582 90.00 90.00 90.00
Element x y z (fractional)
Cd 0.0000 0.0000 0.9886
Cd 0.5000 0.5000 0.2645
Al 0.5000 0.5000 0.7311
W 0.0000 0.0000 0.5158

---

Record 2
Compound: AlCd2W
Source: the Alexandria database
Functional: GGA-PBEsol
Structure: optimized geometry

Values from the calculation:
- DOS(E_F) (states/eV/atom) = 0.57
- calculated total energy (eV/atom) = -4.622
- magnetization (μB per formula unit) = 0.000
- mass density (g cm⁻³) = 10.3

Lattice parameters (Å, degrees): 2.9301 4.9589 5.6421 116.07 105.05 90.00
Element x y z (fractional)
Cd 0.7556 0.2556 0.5111
Al 0.2383 0.7383 0.4767
W 0.5130 0.5130 0.0260
Cd 0.9931 0.9931 0.9862

---

Record 3
Compound: YAlCd2
Source: the Alexandria database
Functional: GGA-PBEsol
Structure: optimized geometry

Values from the calculation:
- DOS(E_F) (states/eV/atom) = 0.65
- calculated total energy (eV/atom) = -3.420
- magnetization (μB per formula unit) = 0.004
- mass density (g cm⁻³) = 6.5

Lattice parameters (Å, degrees): 2.9742 5.5860 6.0728 115.81 101.47 95.73
Element x y z (fractional)
Cd 0.0000 0.0000 0.5000
Cd 0.5000 0.5000 0.5000
Y 0.0000 0.5000 0.0000
Al 0.5000 0.0000 0.0000

---

Record 4
Compound: YAlCd4
Source: the Alexandria database
Functional: GGA-PBEsol
Structure: optimized geometry

Values from the calculation:
- DOS(E_F) (states/eV/atom) = 0.46
- calculated total energy (eV/atom) = -2.644
- magnetization (μB per formula unit) = 0.000
- mass density (g cm⁻³) = 7.1

Lattice parameters (Å, degrees): 5.7282 5.7282 5.7282 60.00 60.00 60.00
Element x y z (fractional)
Cd 0.3752 0.3752 0.8743
Cd 0.3752 0.8743 0.3752
Cd 0.8743 0.3752 0.3752
Y 0.7500 0.7500 0.7500
Cd 0.3752 0.3752 0.3752
Al 0.0000 0.0000 0.0000

---

Record 5
Compound: YAl2Cd
Source: the Alexandria database
Functional: GGA-PBEsol
Structure: optimized geometry

Values from the calculation:
- DOS(E_F) (states/eV/atom) = 0.30
- calculated total energy (eV/atom) = -4.431
- magnetization (μB per formula unit) = 0.000
- mass density (g cm⁻³) = 5.3

Lattice parameters (Å, degrees): 4.2604 4.3469 4.3469 90.00 90.00 90.00
Element x y z (fractional)
Al 0.0000 0.5000 0.0000
Y 0.5000 0.0000 0.0000
Al 0.0000 0.0000 0.5000
Cd 0.5000 0.5000 0.5000

---

Record 6
Compound: YAlCd2
Source: the Alexandria database
Functional: GGA-PBEsol
Structure: optimized geometry

Values from the calculation:
- DOS(E_F) (states/eV/atom) = 0.74
- calculated total energy (eV/atom) = -3.318
- magnetization (μB per formula unit) = 0.000
- mass density (g cm⁻³) = 6.4

Lattice parameters (Å, degrees): 3.2102 3.2102 10.1187 80.87 80.87 60.00
Element x y z (fractional)
Y 0.5025 0.5025 0.4924
Cd 0.7461 0.7461 0.7618
Al 0.2538 0.2538 0.2386
Cd 0.9976 0.9976 0.0072

---

Record 7
Compound: Y2AlCd
Source: the Alexandria database
Functional: GGA-PBEsol
Structure: optimized geometry

Values from the calculation:
- DOS(E_F) (states/eV/atom) = 0.55
- calculated total energy (eV/atom) = -5.149
- magnetization (μB per formula unit) = 0.000
- mass density (g cm⁻³) = 5.5

Lattice parameters (Å, degrees): 3.5793 3.5793 7.4284 90.00 90.00 90.00
Element x y z (fractional)
Al 0.5000 0.5000 0.0000
Y 0.0000 0.0000 0.2416
Cd 0.5000 0.5000 0.5000
Y 0.0000 0.0000 0.7584

---

Record 8
Compound: Y2AlCd
Source: the Alexandria database
Functional: GGA-PBEsol
Structure: optimized geometry

Values from the calculation:
- DOS(E_F) (states/eV/atom) = 1.00
- calculated total energy (eV/atom) = -5.052
- magnetization (μB per formula unit) = 0.000
- mass density (g cm⁻³) = 5.5

Lattice parameters (Å, degrees): 3.6629 4.9770 6.1058 114.05 107.45 90.00
Element x y z (fractional)
Al 0.5271 0.5271 0.0542
Y 0.9894 0.9894 0.9788
Cd 0.2225 0.7225 0.4450
Y 0.7610 0.2610 0.5221